[1]
Computed, not measured: a relaxed structure of CdInNF2 at the PBE-GGA level of DFT.

The formation energy from raw total energies comes out at -790.3 meV/atom. As for the total magnetization: 0.00 μB/f.u. As for the space group: P4/mmm, No. 123. The energy above the most stable polymorph in this dataset comes out at 0.000 eV per atom. The density of states at the Fermi level comes out at 0.2575 states/eV per atom. The value obtained for the energy is -3.9346 eV per atom. The calculation puts the calculated density at 5.97 g/cm3.

a = 4.2407 Å, b = 4.2407 Å, c = 4.3221 Å
α = 90.00°, β = 90.00°, γ = 90.00°
Fractional coordinates of all 5 atoms:
F 0.5000 0.0000 0.0000
F 0.0000 0.5000 0.0000
In 0.0000 0.0000 0.0000
N 0.0000 0.0000 0.5000
Cd 0.5000 0.5000 0.5000



[2]
Computed, not measured: a relaxed structure of La2AlAgN at the PBE-GGA level of DFT.

The formation energy from raw total energies comes out at -596.8 meV/atom. As for the total magnetization: 0.00 μB/f.u. As for the space group: P4/mmm, No. 123. The density of states at the Fermi level comes out at 0.7820 states/eV per atom. The value obtained for the energy is -5.5516 eV per atom. The calculation puts the calculated density at 6.40 g/cm3.

a = 5.2546 Å, b = 5.2546 Å, c = 4.0124 Å
α = 90.00°, β = 90.00°, γ = 90.00°
Fractional coordinates of all 5 atoms:
Ag 0.5000 0.5000 0.5000
Al 0.0000 0.0000 0.5000
La 0.5000 0.0000 0.0000
La 0.0000 0.5000 0.0000
N 0.0000 0.0000 0.0000



[3]
Computed, not measured: a relaxed structure of SrTc4P2 at the PBE-GGA level of DFT.

As for the total magnetization: 0.00 μB/f.u. Its energy relative to the elements is -0.540 eV per atom. As for the space group: Cmmm, No. 65. The density of states at the Fermi level comes out at 0.6140 states/eV per atom. The value obtained for the energy is -8.2493 eV per atom. The calculation puts the calculated density at 7.62 g/cm3.

a = 4.0608 Å, b = 4.1110 Å, c = 7.3609 Å
α = 106.22°, β = 90.00°, γ = 90.00°
Fractional coordinates of all 7 atoms:
Tc 0.5000 0.1871 0.3743
Tc 0.5000 0.8129 0.6257
Tc 0.0000 0.3036 0.6072
Tc 0.0000 0.6964 0.3928
Sr 0.0000 0.0000 0.0000
P 0.5000 0.4053 0.8105
P 0.5000 0.5947 0.1895



[4]
Computed, not measured: a relaxed structure of NpCl3F at the PBE-GGA level of DFT.

The formation energy from raw total energies comes out at -2014.1 meV/atom. As for the total magnetization: 3.00 μB/f.u. As for the space group: R-3, No. 148. The energy above the most stable polymorph in this dataset comes out at 0.031 eV per atom. The density of states at the Fermi level comes out at 1.1002 states/eV per atom. The value obtained for the energy is -6.0845 eV per atom. The calculation puts the calculated density at 4.14 g/cm3.

a = 7.3049 Å, b = 7.3049 Å, c = 7.5711 Å
α = 61.16°, β = 61.16°, γ = 60.00°
Site moments in Bohr magnetons follow the coordinates.
Fractional coordinates of all 10 atoms:
Cl 0.6177 0.1819 0.3105  -0.05
Cl 0.8181 0.1101 0.6895  -0.05
Cl 0.1819 0.8899 0.3105  -0.05
Cl 0.1101 0.3823 0.6895  -0.05
Cl 0.8899 0.6177 0.3105  -0.05
Cl 0.3823 0.8181 0.6895  -0.05
Np 0.1981 0.1981 0.4056  3.13
Np 0.8019 0.8019 0.5944  3.13
F 0.3059 0.3059 0.0824  -0.03
F 0.6941 0.6941 0.9176  -0.03



Q: Among the records above, which one has the lowest calculated density?
A: NpCl3F



Q: energy of number 2 (La2AlAgN)?
A: -5.5516 eV per atom



Q: The lowest calculated density belongs to which entry?
A: NpCl3F



Q: Among the records above, which one has the lowest calculated density?
A: NpCl3F